VASP calculation (PBE-GGA) on crystalline ZnGa2S at its relaxed geometry.

It has space group R-3m (No. 166, hexagonal axes), with a = 3.4627 Å, b = 3.4627 Å, c = 24.7191 Å, α = 90.00°, β = 90.00° and γ = 120.00°. Symmetry generates all atoms from Zn at (0.0000, 0.0000, 0.0000), Ga at (0.0000, 0.0000, 0.1012) and S at (0.0000, 0.0000, 0.5000).

Its raw formation energy is 0.021 eV/atom. For the volume, the calculation gives 256.7 Å³ per cell. For the relative energy among the computed polymorphs, the calculation gives 0 meV per atom. Its total moment is 0.000 Bohr magnetons per cell. For the density, the calculation gives 4.6 g/cm3.



VASP calculation (PBE-GGA) on crystalline ZrGa3S at its relaxed geometry.

It has space group Pm-3m (No. 221), with a = 4.7343 Å, b = 4.7343 Å, c = 4.7343 Å, α = 90.00°, β = 90.00° and γ = 90.00°. Symmetry generates all atoms from Zr at (0.0000, 0.0000, 0.0000), Ga at (0.0000, 0.5000, 0.5000) and S at (0.5000, 0.5000, 0.5000).

Its raw formation energy is 0.401 eV/atom. For the volume, the calculation gives 106.1 Å³ per cell. For the relative energy among the computed polymorphs, the calculation gives 0 meV per atom. Its total moment is 0.000 Bohr magnetons per cell. For the density, the calculation gives 5.2 g/cm3.



VASP calculation (PBE-GGA) on crystalline ZrGaS4 at its relaxed geometry.

It has space group C2/m (No. 12), with a = 16.3011 Å, b = 4.9744 Å, c = 7.7232 Å, α = 90.00°, β = 106.21° and γ = 90.00°. Symmetry generates all atoms from Zr at (0.2198, 0.0000, 0.3044), Ga at (0.0777, 0.0000, 0.6855), S at (0.0713, 0.0000, 0.3841), S at (0.1254, 0.5000, 0.7246), S at (0.1386, 0.0000, 0.9915) and S at (0.2317, 0.5000, 0.3350).

Its raw formation energy is -0.673 eV/atom. For the volume, the calculation gives 601.4 Å³ per cell. Its total moment is 0.001 Bohr magnetons per cell. For the density, the calculation gives 3.2 g/cm3.



VASP calculation (PBE-GGA) on crystalline Zr2Ga2S at its relaxed geometry.

It has space group P4/mbm (No. 127), with a = 6.8883 Å, b = 6.8883 Å, c = 4.1780 Å, α = 90.00°, β = 90.00° and γ = 90.00°. Symmetry generates all atoms from Zr at (0.1767, 0.3233, 0.0000), Ga at (0.1301, 0.6301, 0.5000) and S at (0.0000, 0.0000, 0.0000).

Its raw formation energy is -0.787 eV/atom. For the volume, the calculation gives 198.2 Å³ per cell. Its total moment is 0.000 Bohr magnetons per cell. For the density, the calculation gives 5.9 g/cm3.



VASP calculation (PBE-GGA) on crystalline Zr6GaS at its relaxed geometry.

It has space group P-1 (No. 2), with a = 5.4295 Å, b = 5.8286 Å, c = 5.8297 Å, α = 99.93°, β = 91.79° and γ = 107.49°. Symmetry generates all atoms from Zr at (0.0735, 0.1159, 0.2716), Zr at (0.2372, 0.4761, 0.8680), Zr at (0.4116, 0.7539, 0.3803), Ga at (0.5000, 0.0000, 0.0000) and S at (0.0000, 0.5000, 0.5000).

Its raw formation energy is -0.432 eV/atom. For the volume, the calculation gives 172.6 Å³ per cell. Its total moment is 0.000 Bohr magnetons per cell. For the density, the calculation gives 6.2 g/cm3.



VASP calculation (PBE-GGA) on crystalline ZrGa2S6 at its relaxed geometry.

It has space group C2/c (No. 15), with a = 11.4036 Å, b = 11.8125 Å, c = 6.9617 Å, α = 90.00°, β = 104.14° and γ = 90.00°. Symmetry generates all atoms from Zr at (0.0000, 0.1082, 0.2500), Ga at (0.1806, 0.4133, 0.3100), S at (0.0735, 0.4484, 0.5716), S at (0.1216, 0.0467, 0.5962) and S at (0.1565, 0.2387, 0.1917).

Its raw formation energy is -0.737 eV/atom. For the volume, the calculation gives 909.4 Å³ per cell. Its total moment is 0.000 Bohr magnetons per cell. For the density, the calculation gives 3.1 g/cm3.